1.
# PBE-GGA CrCdSb2, relaxed
# **Total moment**: 7.4 μB per cell
data_CrCdSb2
_chemical_formula_sum 'Cr2 Cd2 Sb4'
_symmetry_space_group_name_H-M 'I 4/m m m'
_symmetry_Int_Tables_number 139
_symmetry_space_group_name_Hall '-I 4 2'
_cell_length_a 4.6775
_cell_length_b 4.6775
_cell_length_c 8.5075
_cell_angle_alpha 90.00
_cell_angle_beta 90.00
_cell_angle_gamma 90.00
loop_
_atom_site_label
_atom_site_type_symbol
_atom_site_fract_x
_atom_site_fract_y
_atom_site_fract_z
Cr1 Cr 0.0000 0.0000 0.0000
Cd1 Cd 0.0000 0.0000 0.5000
Sb1 Sb 0.0000 0.5000 0.2500

=====

2.
# PBE-GGA CrCdSb2, relaxed
# **Total moment**: 16.4 μB per cell
data_CrCdSb2
_chemical_formula_sum 'Cr4 Cd4 Sb8'
_symmetry_space_group_name_H-M 'F -4 3 m'
_symmetry_Int_Tables_number 216
_symmetry_space_group_name_Hall 'F -4 2 3'
_cell_length_a 7.2725
_cell_length_b 7.2725
_cell_length_c 7.2725
_cell_angle_alpha 90.00
_cell_angle_beta 90.00
_cell_angle_gamma 90.00
loop_
_atom_site_label
_atom_site_type_symbol
_atom_site_fract_x
_atom_site_fract_y
_atom_site_fract_z
Cr1 Cr 0.0000 0.0000 0.0000
Cd1 Cd 0.2500 0.2500 0.2500
Sb1 Sb 0.0000 0.0000 0.5000
Sb2 Sb 0.2500 0.2500 0.7500

=====

3.
# PBE-GGA Cr2CdSb, relaxed
# **Polymorph energy (0 for the lowest one)**: 0.181 eV per atom
# **Total moment**: 14.9 μB per cell
data_Cr2CdSb
_chemical_formula_sum 'Cr4 Cd2 Sb2'
_symmetry_space_group_name_H-M 'I 4/m m m'
_symmetry_Int_Tables_number 139
_symmetry_space_group_name_Hall '-I 4 2'
_cell_length_a 4.3699
_cell_length_b 4.3699
_cell_length_c 8.0079
_cell_angle_alpha 90.00
_cell_angle_beta 90.00
_cell_angle_gamma 90.00
loop_
_atom_site_label
_atom_site_type_symbol
_atom_site_fract_x
_atom_site_fract_y
_atom_site_fract_z
Cr1 Cr 0.0000 0.5000 0.2500
Cd1 Cd 0.0000 0.0000 0.0000
Sb1 Sb 0.0000 0.0000 0.5000

=====

4.
# PBE-GGA Cr2CdSb, relaxed
# **Polymorph energy (0 for the lowest one)**: 0.155 eV per atom
# **Total moment**: 8.0 μB per cell
data_Cr2CdSb
_chemical_formula_sum 'Cr2 Cd1 Sb1'
_symmetry_space_group_name_H-M 'P 4/m m m'
_symmetry_Int_Tables_number 123
_symmetry_space_group_name_Hall '-P 4 2'
_cell_length_a 4.5485
_cell_length_b 4.5485
_cell_length_c 3.7971
_cell_angle_alpha 90.00
_cell_angle_beta 90.00
_cell_angle_gamma 90.00
loop_
_atom_site_label
_atom_site_type_symbol
_atom_site_fract_x
_atom_site_fract_y
_atom_site_fract_z
Cr1 Cr 0.0000 0.5000 0.0000
Cd1 Cd 0.0000 0.0000 0.5000
Sb1 Sb 0.5000 0.5000 0.5000

=====

5.
# PBE-GGA CrCdSb2, relaxed
# **Total moment**: 3.4 μB per cell
data_CrCdSb2
_chemical_formula_sum 'Cr1 Cd1 Sb2'
_symmetry_space_group_name_H-M 'P 1 m 1'
_symmetry_Int_Tables_number 6
_cell_length_a 4.0687
_cell_length_b 4.1536
_cell_length_c 5.7404
_cell_angle_alpha 90.00
_cell_angle_beta 105.73
_cell_angle_gamma 90.00
loop_
_symmetry_equiv_pos_as_xyz
'x,y,z'
'x,-y,z'
loop_
_atom_site_label
_atom_site_type_symbol
_atom_site_fract_x
_atom_site_fract_y
_atom_site_fract_z
Cr1 Cr 0.0000 0.0000 0.0000
Cd1 Cd 0.7323 0.5000 0.6276
Sb1 Sb 0.1791 0.0000 0.5131
Sb2 Sb 0.5280 0.5000 0.0872

=====

6.
# PBE-GGA CrCdSb2, relaxed
# **Total moment**: 5.7 μB per cell
data_CrCdSb2
_chemical_formula_sum 'Cr2 Cd2 Sb4'
_symmetry_space_group_name_H-M 'C 1 2/m 1'
_symmetry_Int_Tables_number 12
_cell_length_a 6.9755
_cell_length_b 4.0265
_cell_length_c 7.3458
_cell_angle_alpha 90.00
_cell_angle_beta 108.38
_cell_angle_gamma 90.00
loop_
_symmetry_equiv_pos_as_xyz
'x,y,z'
'-x,-y,-z'
'-x,y,-z'
'x,-y,z'
'x+1/2,y+1/2,z'
'-x+1/2,-y+1/2,-z'
'-x+1/2,y+1/2,-z'
'x+1/2,-y+1/2,z'
loop_
_atom_site_label
_atom_site_type_symbol
_atom_site_fract_x
_atom_site_fract_y
_atom_site_fract_z
Cr1 Cr 0.0000 0.0000 0.0000
Cd1 Cd 0.0000 0.5000 0.5000
Sb1 Sb 0.2361 0.5000 0.2092

=====

7.
# PBE-GGA CrCdSb2, relaxed
# **Total moment**: 7.8 μB per cell
data_CrCdSb2
_chemical_formula_sum 'Cr2 Cd2 Sb4'
_symmetry_space_group_name_H-M 'C 1 m 1'
_symmetry_Int_Tables_number 8
_cell_length_a 10.9372
_cell_length_b 3.2198
_cell_length_c 5.4361
_cell_angle_alpha 90.00
_cell_angle_beta 104.12
_cell_angle_gamma 90.00
loop_
_symmetry_equiv_pos_as_xyz
'x,y,z'
'x,-y,z'
'x+1/2,y+1/2,z'
'x+1/2,-y+1/2,z'
loop_
_atom_site_label
_atom_site_type_symbol
_atom_site_fract_x
_atom_site_fract_y
_atom_site_fract_z
Cr1 Cr 0.0000 0.0000 0.0000
Cd1 Cd 0.2899 0.0000 0.6404
Sb1 Sb 0.0297 0.5000 0.4803
Sb2 Sb 0.2352 0.5000 0.1007

=====

8.
# PBE-GGA CrCdSb2, relaxed
# **Total moment**: 3.6 μB per cell
data_CrCdSb2
_chemical_formula_sum 'Cr1 Cd1 Sb2'
_symmetry_space_group_name_H-M 'P 4 m m'
_symmetry_Int_Tables_number 99
_cell_length_a 3.9992
_cell_length_b 3.9992
_cell_length_c 5.9924
_cell_angle_alpha 90.00
_cell_angle_beta 90.00
_cell_angle_gamma 90.00
loop_
_symmetry_equiv_pos_as_xyz
'x,y,z'
'-y,x,z'
'-x,-y,z'
'y,-x,z'
'-x,y,z'
'y,x,z'
'x,-y,z'
'-y,-x,z'
loop_
_atom_site_label
_atom_site_type_symbol
_atom_site_fract_x
_atom_site_fract_y
_atom_site_fract_z
Cr1 Cr 0.0000 0.0000 0.0000
Cd1 Cd 0.5000 0.5000 0.6326
Sb1 Sb 0.0000 0.0000 0.4831
Sb2 Sb 0.5000 0.5000 0.1061

=====

9.
# PBE-GGA ScCrCd2Sb, relaxed
# **Total moment**: 4.8 μB per cell
data_ScCrCd2Sb
_chemical_formula_sum 'Sc1 Cr1 Cd2 Sb1'
_symmetry_space_group_name_H-M 'P 4/m m m'
_symmetry_Int_Tables_number 123
_symmetry_space_group_name_Hall '-P 4 2'
_cell_length_a 5.4752
_cell_length_b 5.4752
_cell_length_c 5.3804
_cell_angle_alpha 90.00
_cell_angle_beta 90.00
_cell_angle_gamma 90.00
loop_
_atom_site_label
_atom_site_type_symbol
_atom_site_fract_x
_atom_site_fract_y
_atom_site_fract_z
Sc1 Sc 0.0000 0.0000 0.0000
Cr1 Cr 0.5000 0.5000 0.0000
Cd1 Cd 0.0000 0.5000 0.5000
Sb1 Sb 0.0000 0.0000 0.5000

=====

10.
# PBE-GGA CrCdSb2Te, relaxed
# **Polymorph energy (0 for the lowest one)**: 0.000 eV per atom
# **Total moment**: 1.8 μB per cell
data_CrCdSb2Te
_chemical_formula_sum 'Cr1 Cd1 Sb2 Te1'
_symmetry_space_group_name_H-M 'P 4/m m m'
_symmetry_Int_Tables_number 123
_symmetry_space_group_name_Hall '-P 4 2'
_cell_length_a 5.0657
_cell_length_b 5.0657
_cell_length_c 5.4280
_cell_angle_alpha 90.00
_cell_angle_beta 90.00
_cell_angle_gamma 90.00
loop_
_atom_site_label
_atom_site_type_symbol
_atom_site_fract_x
_atom_site_fract_y
_atom_site_fract_z
Cr1 Cr 0.0000 0.0000 0.0000
Cd1 Cd 0.5000 0.5000 0.5000
Sb1 Sb 0.0000 0.5000 0.0000
Te1 Te 0.0000 0.0000 0.5000

=====

11.
# PBE-GGA Tl2CrCdSb, relaxed
# **Total moment**: 4.4 μB per cell
data_Tl2CrCdSb
_chemical_formula_sum 'Tl2 Cr1 Cd1 Sb1'
_symmetry_space_group_name_H-M 'P 4/m m m'
_symmetry_Int_Tables_number 123
_symmetry_space_group_name_Hall '-P 4 2'
_cell_length_a 5.5166
_cell_length_b 5.5166
_cell_length_c 5.3080
_cell_angle_alpha 90.00
_cell_angle_beta 90.00
_cell_angle_gamma 90.00
loop_
_atom_site_label
_atom_site_type_symbol
_atom_site_fract_x
_atom_site_fract_y
_atom_site_fract_z
Tl1 Tl 0.0000 0.5000 0.0000
Cr1 Cr 0.0000 0.0000 0.5000
Cd1 Cd 0.0000 0.0000 0.0000
Sb1 Sb 0.5000 0.5000 0.5000

=====

12.
# PBE-GGA VCrCdSb2, relaxed
# **Total moment**: 4.8 μB per cell
data_VCrCdSb2
_chemical_formula_sum 'V1 Cr1 Cd1 Sb2'
_symmetry_space_group_name_H-M 'P 4/m m m'
_symmetry_Int_Tables_number 123
_symmetry_space_group_name_Hall '-P 4 2'
_cell_length_a 5.4149
_cell_length_b 5.4149
_cell_length_c 4.9808
_cell_angle_alpha 90.00
_cell_angle_beta 90.00
_cell_angle_gamma 90.00
loop_
_atom_site_label
_atom_site_type_symbol
_atom_site_fract_x
_atom_site_fract_y
_atom_site_fract_z
V1 V 0.0000 0.0000 0.0000
Cr1 Cr 0.5000 0.5000 0.0000
Cd1 Cd 0.5000 0.5000 0.5000
Sb1 Sb 0.0000 0.5000 0.5000

=====

| no. | E (eV per atom) | uncorrected formation energy (eV per atom) |
| --- | --- | --- |
| 1 | -4.38 | 0.315 |
| 2 | -4.24 | 0.456 |
| 3 | -5.63 | 0.439 |
| 4 | -5.66 | 0.414 |
| 5 | -4.46 | 0.239 |
| 6 | -4.51 | 0.182 |
| 7 | -4.41 | 0.288 |
| 8 | -4.42 | 0.271 |
| 9 | -3.60 | 0.778 |
| 10 | -4.01 | 0.371 |
| 11 | -3.13 | 0.752 |
| 12 | -4.04 | 1.542 |